Record 1
The following is a PBE-GGA calculation of a geometry-optimized CrTeCl structure, from Alexandria via LeMat-Bulk.

The structure in POSCAR format:
```
CrTeCl
1.0
3.706 0.000 0.000
-1.853 3.210 0.000
0.000 0.000 6.960
Cr Te Cl
1 1 1
direct
0.000 0.000 0.000 Cr
0.667 0.333 0.229 Te
0.333 0.667 0.802 Cl
```

Calculated values
Symmetry: P3m1, No. 156

---

Record 2
The following is a PBE-GGA calculation of a geometry-optimized CrTeCl2 structure, from Alexandria via LeMat-Bulk.

The structure in POSCAR format:
```
CrTeCl2
1.0
3.131 0.000 0.000
0.000 3.131 0.000
0.000 0.000 11.174
Cr Te Cl
1 1 2
direct
0.000 0.000 0.000 Cr
0.000 0.000 0.500 Te
0.500 0.500 0.135 Cl
0.500 0.500 0.865 Cl
```

Calculated values
Symmetry: P4/mmm, No. 123

---

Record 3
The following is a PBE-GGA calculation of a geometry-optimized CrTe2Cl structure, from Alexandria via LeMat-Bulk.

The structure in POSCAR format:
```
CrTe2Cl
1.0
3.176 0.000 0.000
0.000 3.176 0.000
0.000 0.000 10.958
Cr Te Cl
1 2 1
direct
0.000 0.000 0.000 Cr
0.000 0.000 0.493 Te
0.500 0.500 0.171 Te
0.500 0.500 0.864 Cl
```

Calculated values
Symmetry: P4mm, No. 99

---

Raw formation energy values, unit eV per formula unit, following the record order: -1.8; -1.2; -0.3.